Compound: NaAc2P2N6
Source: the Alexandria database
Functional: PBE-GGA
Structure: optimized geometry

Calculated values
ΔE_f (raw) in eV/atom: -0.727
SG: No. 2

Structure (CIF):
```
data_NaAc2P2N6
_chemical_formula_sum 'Na1 Ac2 P2 N6'
_symmetry_space_group_name_H-M 'P 1'
_symmetry_Int_Tables_number 1
_cell_length_a 7.025
_cell_length_b 5.576
_cell_length_c 5.893
_cell_angle_alpha 118.44
_cell_angle_beta 87.70
_cell_angle_gamma 63.48
loop_
_symmetry_equiv_pos_as_xyz
'x,y,z'
loop_
_atom_site_label
_atom_site_type_symbol
_atom_site_fract_x
_atom_site_fract_y
_atom_site_fract_z
Na1 Na 0.500 0.000 0.500
Ac1 Ac 0.807 0.490 0.788
Ac2 Ac 0.193 0.510 0.212
P1 P 0.238 0.792 0.822
P2 P 0.762 0.208 0.178
N1 N 0.367 0.850 0.038
N2 N 0.842 0.453 0.258
N3 N 0.198 0.957 0.657
N4 N 0.158 0.547 0.742
N5 N 0.802 0.043 0.343
N6 N 0.633 0.150 0.962
```

***

Compound: Sr2GaNiSe
Source: the Alexandria database
Functional: PBE-GGA
Structure: optimized geometry

Calculated values
ΔE_f (raw) in eV/atom: -0.658
SG: No. 123

Structure (CIF):
```
data_Sr2GaNiSe
_chemical_formula_sum 'Sr2 Ga1 Ni1 Se1'
_symmetry_space_group_name_H-M 'P 1'
_symmetry_Int_Tables_number 1
_cell_length_a 5.616
_cell_length_b 5.616
_cell_length_c 4.479
_cell_angle_alpha 90.00
_cell_angle_beta 90.00
_cell_angle_gamma 90.00
loop_
_symmetry_equiv_pos_as_xyz
'x,y,z'
loop_
_atom_site_label
_atom_site_type_symbol
_atom_site_fract_x
_atom_site_fract_y
_atom_site_fract_z
Sr1 Sr 0.000 0.500 0.000
Sr2 Sr 0.500 0.000 0.000
Ga1 Ga 0.000 0.000 0.500
Se1 Se 0.500 0.500 0.500
Ni1 Ni 0.000 0.000 0.000
```

***

Compound: Ce2TlIn9
Source: the Alexandria database
Functional: PBE-GGA
Structure: optimized geometry

Calculated values
SG: No. 123
Formation energy in eV per formula unit: -2.766

Structure (CIF):
```
data_Ce2TlIn9
_chemical_formula_sum 'Ce2 Tl1 In9'
_symmetry_space_group_name_H-M 'P 1'
_symmetry_Int_Tables_number 1
_cell_length_a 4.694
_cell_length_b 4.694
_cell_length_c 14.635
_cell_angle_alpha 90.00
_cell_angle_beta 90.00
_cell_angle_gamma 90.00
loop_
_symmetry_equiv_pos_as_xyz
'x,y,z'
loop_
_atom_site_label
_atom_site_type_symbol
_atom_site_fract_x
_atom_site_fract_y
_atom_site_fract_z
Ce1 Ce 0.000 0.000 0.338
Ce2 Ce 0.000 0.000 0.662
Tl1 Tl 0.000 0.000 0.000
In1 In 0.500 0.500 0.000
In2 In 0.500 0.500 0.341
In3 In 0.500 0.500 0.659
In4 In 0.500 0.000 0.175
In5 In 0.500 0.000 0.500
In6 In 0.500 0.000 0.825
In7 In 0.000 0.500 0.175
In8 In 0.000 0.500 0.500
In9 In 0.000 0.500 0.825
```

***

Compound: NbAu3C
Source: the Alexandria database
Functional: PBE-GGA
Structure: optimized geometry

Calculated values
SG: No. 221
Energy relative to the lowest polymorph listed for this composition in eV/atom: 1.385
Formation energy in eV per formula unit: 11.664

Structure (CIF):
```
data_NbAu3C
_chemical_formula_sum 'Nb1 Au3 C1'
_symmetry_space_group_name_H-M 'P 1'
_symmetry_Int_Tables_number 1
_cell_length_a 5.168
_cell_length_b 5.168
_cell_length_c 5.168
_cell_angle_alpha 90.00
_cell_angle_beta 90.00
_cell_angle_gamma 90.00
loop_
_symmetry_equiv_pos_as_xyz
'x,y,z'
loop_
_atom_site_label
_atom_site_type_symbol
_atom_site_fract_x
_atom_site_fract_y
_atom_site_fract_z
Nb1 Nb 0.000 0.000 0.000
Au1 Au 0.000 0.500 0.000
Au2 Au 0.000 0.000 0.500
Au3 Au 0.500 0.000 0.000
C1 C 0.500 0.500 0.500
```

***

Compound: Ac2Hg3Ge2
Source: the Alexandria database
Functional: PBE-GGA
Structure: optimized geometry

Calculated values
SG: No. 12
Formation energy in eV per formula unit: -3.306

Structure (CIF):
```
data_Ac2Hg3Ge2
_chemical_formula_sum 'Ac2 Hg3 Ge2'
_symmetry_space_group_name_H-M 'P 1'
_symmetry_Int_Tables_number 1
_cell_length_a 4.794
_cell_length_b 6.214
_cell_length_c 7.147
_cell_angle_alpha 84.14
_cell_angle_beta 90.00
_cell_angle_gamma 112.69
loop_
_symmetry_equiv_pos_as_xyz
'x,y,z'
loop_
_atom_site_label
_atom_site_type_symbol
_atom_site_fract_x
_atom_site_fract_y
_atom_site_fract_z
Ac1 Ac 0.646 0.292 0.294
Ac2 Ac 0.354 0.708 0.706
Hg1 Hg 0.343 0.685 0.177
Hg2 Hg 0.000 0.000 0.000
Hg3 Hg 0.657 0.315 0.823
Ge1 Ge 0.077 0.154 0.611
Ge2 Ge 0.923 0.846 0.389
```

***

Compound: CrNiOs2
Source: the Alexandria database
Functional: PBE-GGA
Structure: optimized geometry

Calculated values
SG: No. 123
Energy relative to the lowest polymorph listed for this composition in eV/atom: 0.077
Formation energy in eV per formula unit: 0.599

Structure (CIF):
```
data_CrNiOs2
_chemical_formula_sum 'Cr1 Ni1 Os2'
_symmetry_space_group_name_H-M 'P 1'
_symmetry_Int_Tables_number 1
_cell_length_a 2.657
_cell_length_b 2.657
_cell_length_c 7.347
_cell_angle_alpha 90.00
_cell_angle_beta 90.00
_cell_angle_gamma 90.00
loop_
_symmetry_equiv_pos_as_xyz
'x,y,z'
loop_
_atom_site_label
_atom_site_type_symbol
_atom_site_fract_x
_atom_site_fract_y
_atom_site_fract_z
Cr1 Cr 0.500 0.500 0.250
Ni1 Ni 0.500 0.500 0.750
Os1 Os 0.000 0.000 0.003
Os2 Os 0.000 0.000 0.497
```

***

Please write out number 4 again, unchanged.
Compound: NbAu3C
Source: the Alexandria database
Functional: PBE-GGA
Structure: optimized geometry

Calculated values
SG: No. 221
Energy relative to the lowest polymorph listed for this composition in eV/atom: 1.385
Formation energy in eV per formula unit: 11.664

Structure (CIF):
```
data_NbAu3C
_chemical_formula_sum 'Nb1 Au3 C1'
_symmetry_space_group_name_H-M 'P 1'
_symmetry_Int_Tables_number 1
_cell_length_a 5.168
_cell_length_b 5.168
_cell_length_c 5.168
_cell_angle_alpha 90.00
_cell_angle_beta 90.00
_cell_angle_gamma 90.00
loop_
_symmetry_equiv_pos_as_xyz
'x,y,z'
loop_
_atom_site_label
_atom_site_type_symbol
_atom_site_fract_x
_atom_site_fract_y
_atom_site_fract_z
Nb1 Nb 0.000 0.000 0.000
Au1 Au 0.000 0.500 0.000
Au2 Au 0.000 0.000 0.500
Au3 Au 0.500 0.000 0.000
C1 C 0.500 0.500 0.500
```

***

What did the sixth record say?
Compound: CrNiOs2
Source: the Alexandria database
Functional: PBE-GGA
Structure: optimized geometry

Calculated values
SG: No. 123
Energy relative to the lowest polymorph listed for this composition in eV/atom: 0.077
Formation energy in eV per formula unit: 0.599

Structure (CIF):
```
data_CrNiOs2
_chemical_formula_sum 'Cr1 Ni1 Os2'
_symmetry_space_group_name_H-M 'P 1'
_symmetry_Int_Tables_number 1
_cell_length_a 2.657
_cell_length_b 2.657
_cell_length_c 7.347
_cell_angle_alpha 90.00
_cell_angle_beta 90.00
_cell_angle_gamma 90.00
loop_
_symmetry_equiv_pos_as_xyz
'x,y,z'
loop_
_atom_site_label
_atom_site_type_symbol
_atom_site_fract_x
_atom_site_fract_y
_atom_site_fract_z
Cr1 Cr 0.500 0.500 0.250
Ni1 Ni 0.500 0.500 0.750
Os1 Os 0.000 0.000 0.003
Os2 Os 0.000 0.000 0.497
```